(1)
CaBIr2Pt: relaxed, PBE.

a = 4.229 Å, b = 4.229 Å, c = 4.279 Å
α = 90.00°, β = 90.00°, γ = 90.00°
Sites, in units of the cell vectors:
Ca  0.000  0.000  0.000
B  0.500  0.500  0.500
Ir  0.000  0.500  0.500
Ir  0.500  0.000  0.500
Pt  0.500  0.500  0.000

Summary:
N(E_F) = 3.22 states/eV/cell
Calculated density = 13.681 g cm⁻³
ΔH_f (0 K) = -0.41 eV/atom
SG = P4/mmm (123)
Size of the total moment = 0.00 μB per cell

(2)
La6SmHo2Tm: relaxed, PBE.

a = 9.018 Å, b = 9.018 Å, c = 9.814 Å
α = 94.36°, β = 94.36°, γ = 117.45°
Sites, in units of the cell vectors:
La  0.003  0.561  0.193
La  0.109  0.758  0.552
La  0.242  0.891  0.948
La  0.297  0.509  0.381
La  0.439  0.997  0.307
La  0.491  0.703  0.119
La  0.509  0.297  0.881
La  0.561  0.003  0.693
La  0.703  0.491  0.619
La  0.758  0.109  0.052
La  0.891  0.242  0.448
La  0.997  0.439  0.807
Sm  0.025  0.975  0.250
Sm  0.975  0.025  0.750
Ho  0.199  0.293  0.046
Ho  0.293  0.199  0.546
Ho  0.707  0.801  0.454
Ho  0.801  0.707  0.954
Tm  0.412  0.588  0.750
Tm  0.588  0.412  0.250

Summary:
N(E_F) = 30.32 states/eV/cell
Calculated density = 7.028 g cm⁻³
ΔH_f (0 K) = 0.11 eV/atom
SG = C2/c (15)
Size of the total moment = 0.00 μB per cell

What did the first record say?
CaBIr2Pt: relaxed, PBE.

a = 4.229 Å, b = 4.229 Å, c = 4.279 Å
α = 90.00°, β = 90.00°, γ = 90.00°
Sites, in units of the cell vectors:
Ca  0.000  0.000  0.000
B  0.500  0.500  0.500
Ir  0.000  0.500  0.500
Ir  0.500  0.000  0.500
Pt  0.500  0.500  0.000

Summary:
N(E_F) = 3.22 states/eV/cell
Calculated density = 13.681 g cm⁻³
ΔH_f (0 K) = -0.41 eV/atom
SG = P4/mmm (123)
Size of the total moment = 0.00 μB per cell